Record 1
The following is a PBE calculation of a relaxed Sr2Cu3As4Pt crystal, from the Alexandria database.

Cell lengths 4.3963, 4.3963, 10.0629 Å; angles 90.00, 90.00, 90.00 degrees
Space group P-4m2 (No. 115)
Symmetry-distinct sites (fractional):
Sr 0.0000 0.5000 0.2486 (multiplicity 2)
Cu 0.0000 0.5000 0.8769 (multiplicity 2)
Cu 0.5000 0.5000 0.5000 (multiplicity 1)
As 0.0000 0.0000 0.0000 (multiplicity 1)
As 0.0000 0.5000 0.6325 (multiplicity 2)
As 0.5000 0.5000 0.0000 (multiplicity 1)
Pt 0.0000 0.0000 0.5000 (multiplicity 1)

Values from the calculation:
magnetization	0.00	μB/cell
volume	19.449	Å³ per atom
formation enthalpy at 0 K	-0.5705	eV/atom
total DFT energy (no corrections)	-4.600	eV per atom
calculated density	7.348	g/cm3

***

Record 2
The following is a PBE calculation of a relaxed Sr2Cu4As3Pt crystal, from the Alexandria database.

Cell lengths 4.2872, 4.2872, 10.2595 Å; angles 90.00, 90.00, 90.00 degrees
Space group P-4m2 (No. 115)
Symmetry-distinct sites (fractional):
Sr 0.0000 0.5000 0.2505 (multiplicity 2)
Cu 0.0000 0.0000 0.0000 (multiplicity 1)
Cu 0.0000 0.5000 0.6336 (multiplicity 2)
Cu 0.5000 0.5000 0.0000 (multiplicity 1)
As 0.0000 0.5000 0.8697 (multiplicity 2)
As 0.5000 0.5000 0.5000 (multiplicity 1)
Pt 0.0000 0.0000 0.5000 (multiplicity 1)

Values from the calculation:
magnetization	0.00	μB/cell
volume	18.857	Å³ per atom
formation enthalpy at 0 K	-0.5152	eV/atom
total DFT energy (no corrections)	-4.489	eV per atom
calculated density	7.479	g/cm3

***

Record 3
The following is a PBE calculation of a relaxed Sr2CuAs3Pt4 crystal, from the Alexandria database.

Cell lengths 4.4851, 4.4851, 9.9422 Å; angles 90.00, 90.00, 90.00 degrees
Space group P-4m2 (No. 115)
Symmetry-distinct sites (fractional):
Sr 0.0000 0.5000 0.2441 (multiplicity 2)
Cu 0.5000 0.5000 0.0000 (multiplicity 1)
As 0.0000 0.0000 0.0000 (multiplicity 1)
As 0.0000 0.5000 0.6292 (multiplicity 2)
Pt 0.0000 0.0000 0.5000 (multiplicity 1)
Pt 0.0000 0.5000 0.8799 (multiplicity 2)
Pt 0.5000 0.5000 0.5000 (multiplicity 1)

Values from the calculation:
magnetization	0.00	μB/cell
volume	20.000	Å³ per atom
formation enthalpy at 0 K	-0.7194	eV/atom
total DFT energy (no corrections)	-5.277	eV per atom
calculated density	10.328	g/cm3

***

Record 4
The following is a PBE calculation of a relaxed TiCuAsPt2 crystal, from the Alexandria database.

Cell lengths 4.6583, 4.6583, 4.6439 Å; angles 90.00, 90.00, 90.00 degrees
Space group P4/mmm (No. 123)
Symmetry-distinct sites (fractional):
Ti 0.0000 0.0000 0.0000 (multiplicity 1)
Cu 0.5000 0.5000 0.0000 (multiplicity 1)
As 0.0000 0.0000 0.5000 (multiplicity 1)
Pt 0.0000 0.5000 0.5000 (multiplicity 2)

Values from the calculation:
magnetization	0.77	μB/cell
volume	20.155	Å³ per atom
formation enthalpy at 0 K	0.4765	eV/atom
total DFT energy (no corrections)	-5.268	eV per atom
calculated density	9.500	g/cm3

***

Record 5
The following is a PBE calculation of a relaxed ZnCuAs2Pt crystal, from the Alexandria database.

Cell lengths 4.6962, 4.6962, 4.7415 Å; angles 90.00, 90.00, 90.00 degrees
Space group P4/mmm (No. 123)
Symmetry-distinct sites (fractional):
Zn 0.0000 0.0000 0.0000 (multiplicity 1)
Cu 0.5000 0.5000 0.5000 (multiplicity 1)
As 0.0000 0.5000 0.0000 (multiplicity 2)
Pt 0.0000 0.0000 0.5000 (multiplicity 1)

Values from the calculation:
magnetization	0.00	μB/cell
volume	20.914	Å³ per atom
formation enthalpy at 0 K	0.8581	eV/atom
total DFT energy (no corrections)	-3.284	eV per atom
calculated density	7.525	g/cm3

***

Record 6
The following is a PBE calculation of a relaxed PuCuAs2 crystal, from the Alexandria database.

Cell lengths 4.3598, 4.3598, 3.8916 Å; angles 90.00, 90.00, 90.00 degrees
Space group P4/mmm (No. 123)
Symmetry-distinct sites (fractional):
Pu 0.0000 0.0000 0.0000 (multiplicity 1)
Cu 0.5000 0.5000 0.0000 (multiplicity 1)
As 0.0000 0.5000 0.5000 (multiplicity 2)

Values from the calculation:
magnetization	4.79	μB/cell
volume	18.492	Å³ per atom
formation enthalpy at 0 K	-0.4300	eV/atom
total DFT energy (no corrections)	-7.362	eV per atom
calculated density	10.268	g/cm3

***

Record 7
The following is a PBE calculation of a relaxed PuCuAs2 crystal, from the Alexandria database.

Cell lengths 3.1139, 3.1139, 28.6516 Å; angles 90.00, 90.00, 120.00 degrees
Space group R-3m (No. 166, hexagonal axes)
Symmetry-distinct sites (fractional):
Pu 0.0000 0.0000 0.0000 (multiplicity 3)
Cu 0.0000 0.0000 0.5000 (multiplicity 3)
As 0.0000 0.0000 0.1020 (multiplicity 6)

Values from the calculation:
magnetization	17.13	μB/cell
volume	20.050	Å³ per atom
formation enthalpy at 0 K	0.1805	eV/atom
total DFT energy (no corrections)	-6.751	eV per atom
calculated density	9.470	g/cm3

***

Record 8
The following is a PBE calculation of a relaxed Pu3Cu2As4 crystal, from the Alexandria database.

Cell lengths 13.0855, 3.9943, 8.6272 Å; angles 90.00, 124.89, 90.00 degrees
Space group C2/m (No. 12)
Symmetry-distinct sites (fractional):
Pu 0.0000 0.0000 0.0000 (multiplicity 2)
Pu 0.1283 0.5000 0.7089 (multiplicity 4)
Cu 0.1863 0.5000 0.3768 (multiplicity 4)
As 0.0770 0.0000 0.3904 (multiplicity 4)
As 0.1799 0.5000 0.0873 (multiplicity 4)

Values from the calculation:
magnetization	28.57	μB/cell
volume	20.548	Å³ per atom
formation enthalpy at 0 K	-0.6863	eV/atom
total DFT energy (no corrections)	-8.440	eV per atom
calculated density	10.405	g/cm3

***

Record 9
The following is a PBE calculation of a relaxed Pu2CuAs3Rh4 crystal, from the Alexandria database.

Cell lengths 4.1242, 4.1242, 10.4566 Å; angles 90.00, 90.00, 90.00 degrees
Space group P-4m2 (No. 115)
Symmetry-distinct sites (fractional):
Pu 0.0000 0.5000 0.2374 (multiplicity 2)
Cu 0.5000 0.5000 0.0000 (multiplicity 1)
As 0.0000 0.0000 0.0000 (multiplicity 1)
As 0.0000 0.5000 0.6350 (multiplicity 2)
Rh 0.0000 0.0000 0.5000 (multiplicity 1)
Rh 0.0000 0.5000 0.8634 (multiplicity 2)
Rh 0.5000 0.5000 0.5000 (multiplicity 1)

Values from the calculation:
magnetization	10.27	μB/cell
volume	17.786	Å³ per atom
formation enthalpy at 0 K	-0.6332	eV/atom
total DFT energy (no corrections)	-8.245	eV per atom
calculated density	11.091	g/cm3

***

Record 10
The following is a PBE calculation of a relaxed PuCuAsS crystal, from the Alexandria database.

Cell lengths 4.2193, 4.2193, 8.4534 Å; angles 90.00, 90.00, 90.00 degrees
Space group P4/nmm (No. 129, origin choice 2)
Symmetry-distinct sites (fractional):
Pu 0.2500 0.2500 0.2004 (multiplicity 2)
Cu 0.2500 0.7500 0.5000 (multiplicity 2)
As 0.2500 0.2500 0.6588 (multiplicity 2)
S 0.2500 0.7500 0.0000 (multiplicity 2)

Values from the calculation:
magnetization	8.93	μB/cell
ΔE_f (raw)	-0.79	eV per atom
volume	18.811	Å³ per atom
total DFT energy (no corrections)	-7.588	eV per atom
calculated density	9.148	g/cm3

***

Record 11
The following is a PBE calculation of a relaxed RbCu9As4 crystal, from the Alexandria database.

Cell lengths 8.3701, 8.3701, 12.4849 Å; angles 90.00, 90.00, 90.00 degrees
Space group I4/mcm (No. 140)
Symmetry-distinct sites (fractional):
Rb 0.0000 0.0000 0.2500 (multiplicity 4)
Cu 0.0000 0.5000 0.0000 (multiplicity 4)
Cu 0.0600 0.2047 0.0000 (multiplicity 16)
Cu 0.1165 0.3835 0.1771 (multiplicity 16)
As 0.1766 0.3234 0.3741 (multiplicity 16)

Values from the calculation:
magnetization	0.00	μB/cell
volume	15.619	Å³ per atom
formation enthalpy at 0 K	-0.0013	eV/atom
total DFT energy (no corrections)	-4.032	eV per atom
calculated density	7.268	g/cm3

***

Record 12
The following is a PBE calculation of a relaxed RbCu3As crystal, from the Alexandria database.

Cell lengths 4.8165, 4.8165, 4.8165 Å; angles 90.00, 90.00, 90.00 degrees
Space group Pm-3m (No. 221)
Symmetry-distinct sites (fractional):
Rb 0.0000 0.0000 0.0000 (multiplicity 1)
Cu 0.0000 0.5000 0.5000 (multiplicity 3)
As 0.5000 0.5000 0.5000 (multiplicity 1)

Values from the calculation:
magnetization	0.00	μB/cell
energy above the most stable polymorph in this dataset	0	meV per atom
volume	22.347	Å³ per atom
formation enthalpy at 0 K	0.2854	eV/atom
total DFT energy (no corrections)	-3.296	eV per atom
calculated density	5.217	g/cm3

***

Number 1: density of states at the Fermi level 0.43 states/eV per atom. Number 2: density of states at the Fermi level 0.39 states/eV per atom. Number 3: density of states at the Fermi level 0.50 states/eV per atom. Number 4: density of states at the Fermi level 1.04 states/eV per atom. Number 5: density of states at the Fermi level 0.51 states/eV per atom. Number 6: density of states at the Fermi level 2.38 states/eV per atom. Number 7: density of states at the Fermi level 1.73 states/eV per atom. Number 8: density of states at the Fermi level 3.13 states/eV per atom. Number 9: density of states at the Fermi level 2.60 states/eV per atom. Number 10: density of states at the Fermi level 2.33 states/eV per atom. Number 11: density of states at the Fermi level 0.32 states/eV per atom. Number 12: density of states at the Fermi level 0.67 states/eV per atom.